[1]
This record from Alexandria via LeMat-Bulk describes crystalline RbAl3Bi at its relaxed geometry. The functional is PBE-GGA.

For the energy relative to the elements, the calculation gives 718.0 meV/atom. For the total magnetization, the calculation gives 0.000 μB per atom. As for the energy above the most stable polymorph in this dataset: 0.000 eV per atom. The density is 3.2 g/cm3. The total energy is -2.4972 eV per atom. Its density of states at the Fermi level is 0.65 states/eV/atom.

The space group is Pm-3m (No. 221) and the conventional cell measures 5.810, 5.810 and 5.810 Å, with angles of 90.00, 90.00 and 90.00 degrees. The distinct sites, in fractional coordinates, are Rb at (0.000, 0.000, 0.000), Al at (0.000, 0.500, 0.500) and Bi at (0.500, 0.500, 0.500).

***

[2]
This record from Alexandria via LeMat-Bulk describes crystalline Rb2AlBi at its relaxed geometry. The functional is PBE-GGA.

For the energy relative to the elements, the calculation gives 184.2 meV/atom. For the total magnetization, the calculation gives 0.000 μB per atom. As for the energy above the most stable polymorph in this dataset: 0.000 eV per atom. The density is 4.2 g/cm3. The total energy is -2.2055 eV per atom. Its density of states at the Fermi level is 0.00 states/eV/atom.

The space group is Fm-3m (No. 225) and the conventional cell measures 8.666, 8.666 and 8.666 Å, with angles of 90.00, 90.00 and 90.00 degrees. The distinct sites, in fractional coordinates, are Rb at (0.250, 0.250, 0.250), Al at (0.000, 0.000, 0.000) and Bi at (0.000, 0.000, 0.500).

***

[3]
This record from Alexandria via LeMat-Bulk describes crystalline Rb2AlBi2 at its relaxed geometry. The functional is PBE-GGA.

For the energy relative to the elements, the calculation gives -130.1 meV/atom. For the total magnetization, the calculation gives 0.000 μB per atom. As for the energy above the most stable polymorph in this dataset: 0.000 eV per atom. The density is 5.3 g/cm3. The total energy is -2.8180 eV per atom. Its density of states at the Fermi level is 0.33 states/eV/atom.

The space group is P4/mbm (No. 127) and the conventional cell measures 7.947, 7.947 and 6.154 Å, with angles of 90.00, 90.00 and 90.00 degrees. The distinct sites, in fractional coordinates, are Rb at (0.167, 0.333, 0.000), Al at (0.000, 0.000, 0.500) and Bi at (0.145, 0.645, 0.500).

***

[4]
This record from Alexandria via LeMat-Bulk describes crystalline Rb2AlBi at its relaxed geometry. The functional is PBE-GGA.

For the energy relative to the elements, the calculation gives 365.5 meV/atom. For the total magnetization, the calculation gives 0.181 μB per atom. As for the energy above the most stable polymorph in this dataset: 0.181 eV per atom. The density is 4.2 g/cm3. The total energy is -2.0242 eV per atom. Its density of states at the Fermi level is 0.75 states/eV/atom.

The space group is I-42d (No. 122) and the conventional cell measures 5.046, 5.046 and 25.389 Å, with angles of 90.00, 90.00 and 90.00 degrees. The distinct sites, in fractional coordinates, are Rb at (0.245, 0.250, 0.125), Al at (0.000, 0.000, 0.000) and Bi at (0.000, 0.000, 0.500).

***

[5]
This record from Alexandria via LeMat-Bulk describes crystalline Rb2AlBi2 at its relaxed geometry. The functional is PBE-GGA.

For the energy relative to the elements, the calculation gives -101.7 meV/atom. For the total magnetization, the calculation gives 0.000 μB per atom. As for the energy above the most stable polymorph in this dataset: 0.028 eV per atom. The density is 4.3 g/cm3. The total energy is -2.7896 eV per atom. Its density of states at the Fermi level is 0.46 states/eV/atom.

The space group is I4_1/amd (No. 141, origin choice 2) and the conventional cell measures 4.644, 4.644 and 43.651 Å, with angles of 90.00, 90.00 and 90.00 degrees. The distinct sites, in fractional coordinates, are Rb at (0.000, 0.250, 0.050), Al at (0.000, 0.250, 0.875) and Bi at (0.000, 0.250, 0.162).

***

[6]
This record from Alexandria via LeMat-Bulk describes crystalline RbAl3Bi at its relaxed geometry. The functional is PBE-GGA.

For the energy relative to the elements, the calculation gives 1513.4 meV/atom. For the total magnetization, the calculation gives 0.000 μB per atom. As for the energy above the most stable polymorph in this dataset: 0.795 eV per atom. The density is 3.2 g/cm3. The total energy is -1.7018 eV per atom. Its density of states at the Fermi level is 0.83 states/eV/atom.

The space group is Pm-3m (No. 221) and the conventional cell measures 5.783, 5.783 and 5.783 Å, with angles of 90.00, 90.00 and 90.00 degrees. The distinct sites, in fractional coordinates, are Rb at (0.000, 0.000, 0.000), Al at (0.000, 0.000, 0.500) and Bi at (0.500, 0.500, 0.500).

***

[7]
This record from Alexandria via LeMat-Bulk describes crystalline RbAlBi3 at its relaxed geometry. The functional is PBE-GGA.

For the energy relative to the elements, the calculation gives 151.0 meV/atom. For the total magnetization, the calculation gives 0.000 μB per atom. As for the energy above the most stable polymorph in this dataset: 0.223 eV per atom. The density is 6.8 g/cm3. The total energy is -3.1196 eV per atom. Its density of states at the Fermi level is 0.77 states/eV/atom.

The space group is Pm-3m (No. 221) and the conventional cell measures 5.666, 5.666 and 5.666 Å, with angles of 90.00, 90.00 and 90.00 degrees. The distinct sites, in fractional coordinates, are Rb at (0.000, 0.000, 0.000), Al at (0.500, 0.500, 0.500) and Bi at (0.000, 0.500, 0.500).

***

[8]
This record from Alexandria via LeMat-Bulk describes crystalline RbAlBi2 at its relaxed geometry. The functional is PBE-GGA.

For the energy relative to the elements, the calculation gives 15.9 meV/atom. For the total magnetization, the calculation gives 0.000 μB per atom. The density is 4.9 g/cm3. The total energy is -3.1021 eV per atom. Its density of states at the Fermi level is 0.59 states/eV/atom.

The space group is I-42d (No. 122) and the conventional cell measures 6.341, 6.341 and 17.994 Å, with angles of 90.00, 90.00 and 90.00 degrees. The distinct sites, in fractional coordinates, are Rb at (0.000, 0.000, 0.000), Al at (0.000, 0.000, 0.500) and Bi at (0.084, 0.250, 0.625).

***

[9]
This record from Alexandria via LeMat-Bulk describes crystalline RbAlBi3 at its relaxed geometry. The functional is PBE-GGA.

For the energy relative to the elements, the calculation gives 1351.6 meV/atom. For the total magnetization, the calculation gives 0.000 μB per atom. As for the energy above the most stable polymorph in this dataset: 1.424 eV per atom. The density is 5.2 g/cm3. The total energy is -1.9190 eV per atom. Its density of states at the Fermi level is 1.45 states/eV/atom.

The space group is Pm-3m (No. 221) and the conventional cell measures 6.161, 6.161 and 6.161 Å, with angles of 90.00, 90.00 and 90.00 degrees. The distinct sites, in fractional coordinates, are Rb at (0.000, 0.000, 0.000), Al at (0.500, 0.500, 0.500) and Bi at (0.000, 0.000, 0.500).

***

[10]
This record from Alexandria via LeMat-Bulk describes crystalline Rb5Al2Bi5 at its relaxed geometry. The functional is PBE-GGA.

For the energy relative to the elements, the calculation gives -134.6 meV/atom. For the total magnetization, the calculation gives 0.000 μB per atom. The density is 4.8 g/cm3. The total energy is -2.7786 eV per atom. Its density of states at the Fermi level is 0.38 states/eV/atom.

The space group is C2/m (No. 12) and the conventional cell measures 18.302, 5.008 and 13.267 Å, with angles of 90.00, 120.26 and 90.00 degrees. The distinct sites, in fractional coordinates, are Rb at (0.000, 0.000, 0.000), Rb at (0.098, 0.500, 0.769), Rb at (0.132, 0.500, 0.418), Al at (0.184, 0.000, 0.653), Bi at (0.000, 0.000, 0.500), Bi at (0.211, 0.000, 0.259) and Bi at (0.216, 0.500, 0.097).

***

[11]
This record from Alexandria via LeMat-Bulk describes crystalline Rb2AlBiS4 at its relaxed geometry. The functional is PBE-GGA.

For the total magnetization, the calculation gives 0.000 μB per atom. The calculation puts the formation energy from raw total energies at -0.877 eV per atom. The density is 3.1 g/cm3. The total energy is -4.1355 eV per atom. Its density of states at the Fermi level is 0.00 states/eV/atom.

The space group is Fddd (No. 70, origin choice 2) and the conventional cell measures 6.477, 14.248 and 24.702 Å, with angles of 90.00, 90.00 and 90.00 degrees. The distinct sites, in fractional coordinates, are Rb at (0.125, 0.125, 0.309), Al at (0.125, 0.125, 0.625), Bi at (0.125, 0.125, 0.125) and S at (0.078, 0.277, 0.824).

***

[12]
This record from Alexandria via LeMat-Bulk describes crystalline Rb4AlBi3S8 at its relaxed geometry. The functional is PBE-GGA.

For the total magnetization, the calculation gives 0.000 μB per atom. The calculation puts the formation energy from raw total energies at -0.825 eV per atom. The density is 4.7 g/cm3. The total energy is -4.0920 eV per atom.

The space group is R-3m (No. 166, hexagonal axes) and the conventional cell measures 8.1625, 8.1625 and 23.0845 Å, with angles of 90.00, 90.00 and 120.00 degrees. The distinct sites, in fractional coordinates, are Rb at (0.0000, 0.0000, 0.0000), Rb at (0.0000, 0.5000, 0.0000), Al at (0.0000, 0.0000, 0.5000), Bi at (0.0000, 0.5000, 0.5000), S at (0.0000, 0.0000, 0.2352) and S at (0.0343, 0.5171, 0.2287).